## HRhN2 (PBE)

Data for an optimized crystal structure of HRhN2.

a b c (Å): 3.5202 3.5202 3.5202
angles (deg): 60.00 60.00 60.00
Last column: nearest neighbours and their distance in Å.
Atoms (fractional coordinates):
N  0.7500  0.7500  0.7500  4 H 2.16, 4 Rh 2.16
N  0.2500  0.2500  0.2500  4 Rh 2.16, 4 H 2.16
Rh  0.5000  0.5000  0.5000  8 N 2.16
H  0.0000  0.0000  0.0000  8 N 2.16

Computed properties:
Calculated volume: 7.71 A^3/atom
Excess energy over the best structure of this formula in the dataset: 903 meV/atom
Symmetry: Fm-3m
E_tot: -21.3 eV per formula unit

## HRh2N (PBE)

Data for an optimized crystal structure of HRh2N.

a b c (Å): 4.4633 4.4633 5.3585
angles (deg): 65.39 65.39 90.00
Last column: nearest neighbours and their distance in Å.
Atoms (fractional coordinates):
Rh  0.6151  0.1250  0.2500  2 H 1.89, 2 N 1.94
Rh  0.8750  0.8651  0.7500  2 H 1.89, 2 N 1.94
Rh  0.3750  0.3849  0.7500  2 H 1.89, 2 N 1.94
Rh  0.1349  0.6250  0.2500  2 H 1.89, 2 N 1.94
H  0.2500  0.7500  0.5000  4 Rh 1.89
H  0.5000  0.5000  0.0000  4 Rh 1.89
N  0.7500  0.2500  0.5000  4 Rh 1.94
N  0.0000  0.0000  0.0000  4 Rh 1.94

Computed properties:
Calculated volume: 10.78 A^3/atom
Excess energy over the best structure of this formula in the dataset: 0 meV/atom
Symmetry: I-42d
E_tot: -25.6 eV per formula unit

## Sr2HRhN (PBE)

Data for an optimized crystal structure of Sr2HRhN.

a b c (Å): 5.2893 5.2893 3.8214
angles (deg): 90.00 90.00 90.00
Last column: nearest neighbours and their distance in Å.
Atoms (fractional coordinates):
N  0.0000  0.0000  0.0000  2 Rh 1.91
Sr  0.0000  0.5000  0.0000  2 N 2.64
Sr  0.5000  0.0000  0.0000  2 N 2.64
Rh  0.0000  0.0000  0.5000  2 N 1.91
H  0.5000  0.5000  0.5000  8 Sr 3.26

Computed properties:
Calculated volume: 21.38 A^3/atom
Symmetry: P4/mmm
E_tot: -24.4 eV per formula unit

## SrH2RhN (PBE)

Data for an optimized crystal structure of SrH2RhN.

a b c (Å): 3.7938 3.7938 3.9543
angles (deg): 90.00 90.00 90.00
Last column: nearest neighbours and their distance in Å.
Atoms (fractional coordinates):
H  0.0000  0.5000  0.0000  2 Rh 1.90
H  0.5000  0.0000  0.0000  2 Rh 1.90
Rh  0.0000  0.0000  0.0000  4 H 1.90, 2 N 1.98
Sr  0.5000  0.5000  0.5000  4 N 2.68, 8 H 2.74
N  0.0000  0.0000  0.5000  2 Rh 1.98

Computed properties:
Calculated volume: 11.38 A^3/atom
Symmetry: P4/mmm
E_tot: -26.0 eV per formula unit

## TeHRhN2 (PBE)

Data for an optimized crystal structure of TeHRhN2.

a b c (Å): 3.9233 3.9233 3.5926
angles (deg): 90.00 90.00 90.00
Last column: nearest neighbours and their distance in Å.
Atoms (fractional coordinates):
N  0.5000  0.0000  0.0000  2 H 1.96
N  0.0000  0.5000  0.0000  2 H 1.96
Rh  0.5000  0.5000  0.5000  8 N 2.66, 4 Te 2.77
Te  0.0000  0.0000  0.5000  2 H 1.80
H  0.0000  0.0000  0.0000  2 Te 1.80, 4 N 1.96

Computed properties:
Calculated volume: 11.06 A^3/atom
Excess energy over the best structure of this formula in the dataset: 577 meV/atom
Symmetry: P4/mmm
E_tot: -21.2 eV per formula unit

## TeHRhN2 (PBE)

Data for an optimized crystal structure of TeHRhN2.

a b c (Å): 3.7309 3.7309 5.7941
angles (deg): 90.00 90.00 90.00
Last column: nearest neighbours and their distance in Å.
Atoms (fractional coordinates):
Rh  0.0000  0.0000  0.0000  4 N 1.87
N  0.5000  0.0000  0.0000  2 Rh 1.87
N  0.0000  0.5000  0.0000  2 Rh 1.87
H  0.5000  0.5000  0.5000  4 Te 2.64
Te  0.0000  0.0000  0.5000  4 H 2.64, 2 Rh 2.90

Computed properties:
Calculated volume: 16.13 A^3/atom
Excess energy over the best structure of this formula in the dataset: 0 meV/atom
Symmetry: P4/mmm
E_tot: -24.1 eV per formula unit

## YHRhN2 (PBE)

Data for an optimized crystal structure of YHRhN2.

a b c (Å): 3.7690 5.5720 3.7690
angles (deg): 90.00 90.00 90.00
Last column: nearest neighbours and their distance in Å.
Atoms (fractional coordinates):
N  0.0000  0.0000  0.5000  2 Rh 1.88
N  0.5000  0.0000  0.0000  2 Rh 1.88
H  0.5000  0.5000  0.5000  4 Y 2.67
Y  0.0000  0.5000  0.0000  4 H 2.67, 2 Rh 2.79
Rh  0.0000  0.0000  0.0000  4 N 1.88

Computed properties:
Calculated volume: 15.83 A^3/atom
Excess energy over the best structure of this formula in the dataset: 0 meV/atom
Symmetry: P4/mmm
E_tot: -30.5 eV per formula unit

## YHRhN2 (PBE)

Data for an optimized crystal structure of YHRhN2.

a b c (Å): 3.9394 3.4544 3.9394
angles (deg): 90.00 90.00 90.00
Last column: nearest neighbours and their distance in Å.
Atoms (fractional coordinates):
Rh  0.5000  0.5000  0.5000  8 N 2.62, 4 Y 2.79
N  0.5000  0.0000  0.0000  2 H 1.97
N  0.0000  0.0000  0.5000  2 H 1.97
H  0.0000  0.0000  0.0000  2 Y 1.73
Y  0.0000  0.5000  0.0000  2 H 1.73

Computed properties:
Calculated volume: 10.72 A^3/atom
Excess energy over the best structure of this formula in the dataset: 254 meV/atom
Symmetry: P4/mmm
E_tot: -29.2 eV per formula unit

## Zn2HRhN (PBE)

Data for an optimized crystal structure of Zn2HRhN.

a b c (Å): 4.4541 2.7195 4.4541
angles (deg): 90.00 90.00 90.00
Last column: nearest neighbours and their distance in Å.
Atoms (fractional coordinates):
N  0.0000  0.5000  0.0000  2 H 1.36
Zn  0.0000  0.0000  0.5000  2 H 2.23
Zn  0.5000  0.0000  0.0000  2 H 2.23
H  0.0000  0.0000  0.0000  2 N 1.36
Rh  0.5000  0.5000  0.5000  8 Zn 2.61, 2 Rh 2.72

Computed properties:
Calculated volume: 10.79 A^3/atom
Symmetry: P4/mmm
E_tot: -19.3 eV per formula unit

## H2RuN (PBE)

Data for an optimized crystal structure of H2RuN.

a b c (Å): 3.3211 3.3211 3.3211
angles (deg): 60.00 60.00 60.00
Last column: nearest neighbours and their distance in Å.
Atoms (fractional coordinates):
H  0.7500  0.7500  0.7500  4 Ru 2.03, 4 N 2.03
H  0.2500  0.2500  0.2500  4 Ru 2.03, 4 N 2.03
Ru  0.5000  0.5000  0.5000  8 H 2.03
N  0.0000  0.0000  0.0000  8 H 2.03

Computed properties:
Calculated volume: 6.48 A^3/atom
Excess energy over the best structure of this formula in the dataset: 382 meV/atom
Symmetry: Fm-3m
E_tot: -19.1 eV per formula unit

## H3RuN (PBE)

Data for an optimized crystal structure of H3RuN.

a b c (Å): 3.1371 3.1371 3.1371
angles (deg): 90.00 90.00 90.00
Last column: nearest neighbours and their distance in Å.
Atoms (fractional coordinates):
Ru  0.5000  0.5000  0.5000  12 H 2.22
H  0.0000  0.5000  0.0000  2 N 1.57
H  0.0000  0.0000  0.5000  2 N 1.57
H  0.5000  0.0000  0.0000  2 N 1.57
N  0.0000  0.0000  0.0000  6 H 1.57

Computed properties:
Calculated volume: 6.17 A^3/atom
Excess energy over the best structure of this formula in the dataset: 0 meV/atom
Symmetry: Pm-3m
E_tot: -21.0 eV per formula unit

## HRuN3 (PBE)

Data for an optimized crystal structure of HRuN3.

a b c (Å): 3.8297 3.8297 3.8297
angles (deg): 90.00 90.00 90.00
Last column: nearest neighbours and their distance in Å.
Atoms (fractional coordinates):
Ru  0.0000  0.0000  0.0000  6 N 1.91
H  0.5000  0.5000  0.5000  12 N 2.71
N  0.0000  0.5000  0.0000  2 Ru 1.91
N  0.0000  0.0000  0.5000  2 Ru 1.91
N  0.5000  0.0000  0.0000  2 Ru 1.91

Computed properties:
Calculated volume: 11.23 A^3/atom
Symmetry: Pm-3m
E_tot: -28.4 eV per formula unit

What did the second record say?
## HRh2N (PBE)

Data for an optimized crystal structure of HRh2N.

a b c (Å): 4.4633 4.4633 5.3585
angles (deg): 65.39 65.39 90.00
Last column: nearest neighbours and their distance in Å.
Atoms (fractional coordinates):
Rh  0.6151  0.1250  0.2500  2 H 1.89, 2 N 1.94
Rh  0.8750  0.8651  0.7500  2 H 1.89, 2 N 1.94
Rh  0.3750  0.3849  0.7500  2 H 1.89, 2 N 1.94
Rh  0.1349  0.6250  0.2500  2 H 1.89, 2 N 1.94
H  0.2500  0.7500  0.5000  4 Rh 1.89
H  0.5000  0.5000  0.0000  4 Rh 1.89
N  0.7500  0.2500  0.5000  4 Rh 1.94
N  0.0000  0.0000  0.0000  4 Rh 1.94

Computed properties:
Calculated volume: 10.78 A^3/atom
Excess energy over the best structure of this formula in the dataset: 0 meV/atom
Symmetry: I-42d
E_tot: -25.6 eV per formula unit

Repeat the first record exactly.
## HRhN2 (PBE)

Data for an optimized crystal structure of HRhN2.

a b c (Å): 3.5202 3.5202 3.5202
angles (deg): 60.00 60.00 60.00
Last column: nearest neighbours and their distance in Å.
Atoms (fractional coordinates):
N  0.7500  0.7500  0.7500  4 H 2.16, 4 Rh 2.16
N  0.2500  0.2500  0.2500  4 Rh 2.16, 4 H 2.16
Rh  0.5000  0.5000  0.5000  8 N 2.16
H  0.0000  0.0000  0.0000  8 N 2.16

Computed properties:
Calculated volume: 7.71 A^3/atom
Excess energy over the best structure of this formula in the dataset: 903 meV/atom
Symmetry: Fm-3m
E_tot: -21.3 eV per formula unit